## w
Entry from Alexandria via LeMat-Bulk: a relaxed structure of Be4Fe (PBE).

Structure (CIF):
```
data_Be4Fe
_space_group_name_H-M_alt 'P m -3 m'
_space_group_IT_number 221
_space_group_name_Hall '-P 4 2 3'
_cell_length_a 3.8834
_cell_length_b 3.8834
_cell_length_c 3.8834
_cell_angle_alpha 90.00
_cell_angle_beta 90.00
_cell_angle_gamma 90.00
loop_
_atom_site_label
_atom_site_type_symbol
_atom_site_fract_x
_atom_site_fract_y
_atom_site_fract_z
_atom_site_occupancy
Be1 Be 0.0000 0.0000 0.0000 1
Be2 Be 0.0000 0.5000 0.5000 1
Fe1 Fe 0.5000 0.5000 0.5000 1
```

Output
Crystal system: cubic
Fermi-level density of states (states/eV per cell): 1.65
Calculated volume (Å³/f.u.): 58.6

## x
Entry from Alexandria via LeMat-Bulk: a relaxed structure of Be4Fe (PBE).

Structure (CIF):
```
data_Be4Fe
_space_group_name_H-M_alt 'I 4/m m m'
_space_group_IT_number 139
_space_group_name_Hall '-I 4 2'
_cell_length_a 2.5981
_cell_length_b 2.5981
_cell_length_c 12.4874
_cell_angle_alpha 90.00
_cell_angle_beta 90.00
_cell_angle_gamma 90.00
loop_
_atom_site_label
_atom_site_type_symbol
_atom_site_fract_x
_atom_site_fract_y
_atom_site_fract_z
_atom_site_occupancy
Be1 Be 0.0000 0.0000 0.1030 1
Be2 Be 0.0000 0.0000 0.3002 1
Fe1 Fe 0.0000 0.0000 0.5000 1
```

Output
Crystal system: tetragonal
Fermi-level density of states (states/eV per cell): 5.48
Calculated volume (Å³/f.u.): 42.1

The structure with the greatest stability is x.

## w
Entry from Alexandria via LeMat-Bulk: a relaxed structure of KBe2GaFe (PBE).

Structure (CIF):
```
data_KBe2GaFe
_space_group_name_H-M_alt 'P 4/m m m'
_space_group_IT_number 123
_space_group_name_Hall '-P 4 2'
_cell_length_a 4.2058
_cell_length_b 4.2058
_cell_length_c 5.0173
_cell_angle_alpha 90.00
_cell_angle_beta 90.00
_cell_angle_gamma 90.00
loop_
_atom_site_label
_atom_site_type_symbol
_atom_site_fract_x
_atom_site_fract_y
_atom_site_fract_z
_atom_site_occupancy
K1 K 0.0000 0.0000 0.0000 1
Be1 Be 0.0000 0.5000 0.5000 1
Ga1 Ga 0.5000 0.5000 0.0000 1
Fe1 Fe 0.0000 0.0000 0.5000 1
```

Output
Crystal system: tetragonal
Fermi-level density of states (states/eV per cell): 1.76
Calculated volume (Å³/f.u.): 88.7

## x
Entry from Alexandria via LeMat-Bulk: a relaxed structure of KBe2GaFe (PBE).

Structure (CIF):
```
data_KBe2GaFe
_space_group_name_H-M_alt 'P 4/m m m'
_space_group_IT_number 123
_space_group_name_Hall '-P 4 2'
_cell_length_a 4.2938
_cell_length_b 4.2938
_cell_length_c 5.1931
_cell_angle_alpha 90.00
_cell_angle_beta 90.00
_cell_angle_gamma 90.00
loop_
_atom_site_label
_atom_site_type_symbol
_atom_site_fract_x
_atom_site_fract_y
_atom_site_fract_z
_atom_site_occupancy
K1 K 0.0000 0.0000 0.0000 1
Be1 Be 0.0000 0.5000 0.0000 1
Ga1 Ga 0.0000 0.0000 0.5000 1
Fe1 Fe 0.5000 0.5000 0.5000 1
```

Output
Crystal system: tetragonal
Fermi-level density of states (states/eV per cell): 5.11
Calculated volume (Å³/f.u.): 95.7

The structure with the greatest stability is w.

## w
Entry from Alexandria via LeMat-Bulk: a relaxed structure of BeFe2Ge2 (PBE).

Structure (CIF):
```
data_BeFe2Ge2
_space_group_name_H-M_alt 'P 4/m b m'
_space_group_IT_number 127
_space_group_name_Hall '-P 4 2ab'
_cell_length_a 6.6716
_cell_length_b 6.6716
_cell_length_c 2.7653
_cell_angle_alpha 90.00
_cell_angle_beta 90.00
_cell_angle_gamma 90.00
loop_
_atom_site_label
_atom_site_type_symbol
_atom_site_fract_x
_atom_site_fract_y
_atom_site_fract_z
_atom_site_occupancy
Be1 Be 0.0000 0.0000 0.0000 1
Fe1 Fe 0.1500 0.3500 0.5000 1
Ge1 Ge 0.1490 0.6490 0.0000 1
```

Output
Crystal system: tetragonal
Fermi-level density of states (states/eV per cell): 6.39
Calculated volume (Å³/f.u.): 61.5

## x
Entry from Alexandria via LeMat-Bulk: a relaxed structure of BeFe2Ge2 (PBE).

Structure (CIF):
```
data_BeFe2Ge2
_space_group_name_H-M_alt 'I 4/m m m'
_space_group_IT_number 139
_space_group_name_Hall '-I 4 2'
_cell_length_a 3.4796
_cell_length_b 3.4796
_cell_length_c 11.2917
_cell_angle_alpha 90.00
_cell_angle_beta 90.00
_cell_angle_gamma 90.00
loop_
_atom_site_label
_atom_site_type_symbol
_atom_site_fract_x
_atom_site_fract_y
_atom_site_fract_z
_atom_site_occupancy
Be1 Be 0.0000 0.0000 0.0000 1
Fe1 Fe 0.0000 0.0000 0.4000 1
Ge1 Ge 0.0000 0.5000 0.2500 1
```

Output
Crystal system: tetragonal
Fermi-level density of states (states/eV per cell): 6.48
Calculated volume (Å³/f.u.): 68.4

## y
Entry from Alexandria via LeMat-Bulk: a relaxed structure of BeFe2Ge2 (PBE).

Structure (CIF):
```
data_BeFe2Ge2
_space_group_name_H-M_alt 'P 4/m b m'
_space_group_IT_number 127
_space_group_name_Hall '-P 4 2ab'
_cell_length_a 5.8142
_cell_length_b 5.8142
_cell_length_c 3.5687
_cell_angle_alpha 90.00
_cell_angle_beta 90.00
_cell_angle_gamma 90.00
loop_
_atom_site_label
_atom_site_type_symbol
_atom_site_fract_x
_atom_site_fract_y
_atom_site_fract_z
_atom_site_occupancy
Be1 Be 0.0000 0.0000 0.0000 1
Fe1 Fe 0.1513 0.3487 0.0000 1
Ge1 Ge 0.1606 0.6606 0.5000 1
```

Output
Crystal system: tetragonal
Fermi-level density of states (states/eV per cell): 8.08
Calculated volume (Å³/f.u.): 60.3

The structure with the greatest stability is y.

## w
Entry from Alexandria via LeMat-Bulk: a relaxed structure of BeFeH2 (PBE).

Structure (CIF):
```
data_BeFeH2
_space_group_name_H-M_alt 'F m -3 m'
_space_group_IT_number 225
_space_group_name_Hall '-F 4 2 3'
_cell_length_a 4.4898
_cell_length_b 4.4898
_cell_length_c 4.4898
_cell_angle_alpha 90.00
_cell_angle_beta 90.00
_cell_angle_gamma 90.00
loop_
_atom_site_label
_atom_site_type_symbol
_atom_site_fract_x
_atom_site_fract_y
_atom_site_fract_z
_atom_site_occupancy
Be1 Be 0.0000 0.0000 0.0000 1
Fe1 Fe 0.0000 0.0000 0.5000 1
H1 H 0.2500 0.2500 0.2500 1
```

Output
Crystal system: cubic
Fermi-level density of states (states/eV per cell): 0.64
Calculated volume (Å³/f.u.): 22.6

## x
Entry from Alexandria via LeMat-Bulk: a relaxed structure of BeFeH2 (PBE).

Structure (CIF):
```
data_BeFeH2
_space_group_name_H-M_alt 'R 3 m'
_space_group_IT_number 160
_space_group_name_Hall 'R 3 -2"'
_cell_length_a 2.6486
_cell_length_b 2.6486
_cell_length_c 12.2847
_cell_angle_alpha 90.00
_cell_angle_beta 90.00
_cell_angle_gamma 120.00
loop_
_atom_site_label
_atom_site_type_symbol
_atom_site_fract_x
_atom_site_fract_y
_atom_site_fract_z
_atom_site_occupancy
Be1 Be 0.0000 0.0000 0.0000 1
Fe1 Fe 0.0000 0.0000 0.1875 1
H1 H 0.0000 0.0000 0.5886 1
H2 H 0.0000 0.0000 0.7810 1
```

Output
Crystal system: trigonal
Fermi-level density of states (states/eV per cell): 7.05
Calculated volume (Å³/f.u.): 24.9

The structure with the greatest stability is x.

## w
Entry from Alexandria via LeMat-Bulk: a relaxed structure of Be2FeH (PBE).

Structure (CIF):
```
data_Be2FeH
_space_group_name_H-M_alt 'I -4 2 d'
_space_group_IT_number 122
_space_group_name_Hall 'I -4 2bw'
_cell_length_a 4.4230
_cell_length_b 4.4230
_cell_length_c 6.2277
_cell_angle_alpha 90.00
_cell_angle_beta 90.00
_cell_angle_gamma 90.00
loop_
_atom_site_label
_atom_site_type_symbol
_atom_site_fract_x
_atom_site_fract_y
_atom_site_fract_z
_atom_site_occupancy
Be1 Be 0.0326 0.2500 0.1250 1
Fe1 Fe 0.0000 0.0000 0.5000 1
H1 H 0.0000 0.0000 0.0000 1
```

Output
Crystal system: tetragonal
Fermi-level density of states (states/eV per cell): 8.01
Calculated volume (Å³/f.u.): 30.5

## x
Entry from Alexandria via LeMat-Bulk: a relaxed structure of Be2FeH (PBE).

Structure (CIF):
```
data_Be2FeH
_space_group_name_H-M_alt 'F m -3 m'
_space_group_IT_number 225
_space_group_name_Hall '-F 4 2 3'
_cell_length_a 5.0146
_cell_length_b 5.0146
_cell_length_c 5.0146
_cell_angle_alpha 90.00
_cell_angle_beta 90.00
_cell_angle_gamma 90.00
loop_
_atom_site_label
_atom_site_type_symbol
_atom_site_fract_x
_atom_site_fract_y
_atom_site_fract_z
_atom_site_occupancy
Be1 Be 0.2500 0.2500 0.2500 1
Fe1 Fe 0.0000 0.0000 0.0000 1
H1 H 0.0000 0.0000 0.5000 1
```

Output
Crystal system: cubic
Fermi-level density of states (states/eV per cell): 8.68
Calculated volume (Å³/f.u.): 31.5

The structure with the greatest stability is w.

## w
Entry from Alexandria via LeMat-Bulk: a relaxed structure of BeFe2HIr (PBE).

Structure (CIF):
```
data_BeFe2HIr
_space_group_name_H-M_alt 'P 4/m m m'
_space_group_IT_number 123
_space_group_name_Hall '-P 4 2'
_cell_length_a 3.5928
_cell_length_b 3.5928
_cell_length_c 3.8791
_cell_angle_alpha 90.00
_cell_angle_beta 90.00
_cell_angle_gamma 90.00
loop_
_atom_site_label
_atom_site_type_symbol
_atom_site_fract_x
_atom_site_fract_y
_atom_site_fract_z
_atom_site_occupancy
Be1 Be 0.0000 0.0000 0.0000 1
Fe1 Fe 0.0000 0.5000 0.5000 1
H1 H 0.5000 0.5000 0.5000 1
Ir1 Ir 0.5000 0.5000 0.0000 1
```

Output
Crystal system: tetragonal
Fermi-level density of states (states/eV per cell): 3.31
Calculated volume (Å³/f.u.): 50.1

## x
Entry from Alexandria via LeMat-Bulk: a relaxed structure of BeFe2HIr (PBE).

Structure (CIF):
```
data_BeFe2HIr
_space_group_name_H-M_alt 'P 4/m m m'
_space_group_IT_number 123
_space_group_name_Hall '-P 4 2'
_cell_length_a 3.5155
_cell_length_b 3.5155
_cell_length_c 3.9558
_cell_angle_alpha 90.00
_cell_angle_beta 90.00
_cell_angle_gamma 90.00
loop_
_atom_site_label
_atom_site_type_symbol
_atom_site_fract_x
_atom_site_fract_y
_atom_site_fract_z
_atom_site_occupancy
Be1 Be 0.0000 0.0000 0.0000 1
Fe1 Fe 0.0000 0.5000 0.5000 1
H1 H 0.0000 0.0000 0.5000 1
Ir1 Ir 0.5000 0.5000 0.0000 1
```

Output
Crystal system: tetragonal
Fermi-level density of states (states/eV per cell): 4.00
Calculated volume (Å³/f.u.): 48.9

The structure with the greatest stability is x.